! Sm2Y2CBr3Cl2, relaxed, DFT GGA-PBE; values from VASP
&SYSTEM
  ibrav = 0, nat = 10, ntyp = 5
/
ATOMIC_SPECIES
Sm 150.36 Sm.upf
Y 88.91 Y.upf
C 12.01 C.upf
Br 79.90 Br.upf
Cl 35.45 Cl.upf
CELL_PARAMETERS angstrom
8.880 -1.922 0.000
8.880 1.922 0.000
-1.943 0.000 8.044
ATOMIC_POSITIONS angstrom
Sm -0.394 0.000 1.651
Sm 16.211 0.000 6.393
Y 4.607 0.000 7.438
Y 11.210 0.000 0.606
C 8.880 0.000 0.000
Br 1.438 0.000 6.731
Br 7.908 0.000 4.022
Br 14.378 0.000 1.313
Cl 2.280 0.000 2.539
Cl 13.537 0.000 5.504
! Crystal system   monoclinic

---

! Nd2HoMg3CdGa2, relaxed, DFT GGA-PBE; values from VASP
&SYSTEM
  ibrav = 0, nat = 9, ntyp = 5
/
ATOMIC_SPECIES
Nd 144.24 Nd.upf
Ho 164.93 Ho.upf
Mg 24.30 Mg.upf
Cd 112.41 Cd.upf
Ga 69.72 Ga.upf
CELL_PARAMETERS angstrom
4.550 0.000 0.000
0.000 6.420 3.762
0.000 -6.420 3.762
ATOMIC_POSITIONS angstrom
Nd 0.000 -3.671 3.762
Nd 0.000 3.671 3.762
Ho 0.000 0.000 2.673
Mg 2.275 0.000 0.237
Mg 2.275 -1.592 4.959
Mg 2.275 1.592 4.959
Cd 0.000 0.000 5.839
Ga 2.275 -2.095 2.154
Ga 2.275 2.095 2.154
! Crystal system   orthorhombic

---

! BaSrZn2Sn2, relaxed, DFT GGA-PBE; values from VASP
&SYSTEM
  ibrav = 0, nat = 6, ntyp = 4
/
ATOMIC_SPECIES
Ba 137.33 Ba.upf
Sr 87.62 Sr.upf
Zn 65.41 Zn.upf
Sn 118.71 Sn.upf
CELL_PARAMETERS angstrom
4.705 0.000 0.000
-2.353 4.075 0.000
0.000 0.000 9.447
ATOMIC_POSITIONS angstrom
Ba 0.000 0.000 0.000
Sr 0.000 0.000 4.724
Zn 0.000 2.717 2.495
Zn 2.353 1.358 6.952
Sn 0.000 2.717 6.980
Sn 2.353 1.358 2.467
! Crystal system   trigonal

---

! Na2TePtO6, relaxed, DFT GGA-PBE; values from VASP
&SYSTEM
  ibrav = 0, nat = 20, ntyp = 4
/
ATOMIC_SPECIES
Na 22.99 Na.upf
Te 127.60 Te.upf
Pt 195.08 Pt.upf
O 16.00 O.upf
CELL_PARAMETERS angstrom
5.359 0.000 0.000
0.000 5.455 0.000
-5.311 0.000 7.631
ATOMIC_POSITIONS angstrom
Na -0.060 0.310 1.898
Na -2.715 2.418 5.713
Na 2.764 3.037 1.918
Na 0.108 5.145 5.734
Te 2.680 0.000 0.000
Te 0.024 2.727 3.816
Pt -2.655 0.000 3.816
Pt 0.000 2.727 0.000
O -4.250 1.042 7.229
O -1.595 1.686 3.413
O -3.647 3.834 7.198
O -0.991 4.348 3.382
O -2.071 0.171 5.758
O 0.584 2.557 1.943
O -0.535 2.898 5.689
O 2.120 5.284 1.873
O 1.040 1.107 4.250
O 3.695 1.621 0.434
O 1.644 3.769 4.218
O 4.299 4.413 0.403
! Crystal system   monoclinic

---

! SrCoHgS3, relaxed, DFT GGA-PBE; values from VASP
&SYSTEM
  ibrav = 0, nat = 12, ntyp = 4
/
ATOMIC_SPECIES
Sr 87.62 Sr.upf
Co 58.93 Co.upf
Hg 200.59 Hg.upf
S 32.06 S.upf
CELL_PARAMETERS angstrom
1.806 -7.347 0.000
1.806 7.347 0.000
0.000 0.000 11.155
ATOMIC_POSITIONS angstrom
Sr 1.806 4.830 8.366
Sr 1.806 -4.830 2.789
Co 0.000 0.000 0.000
Co 0.000 0.000 5.577
Hg 1.806 0.846 8.366
Hg 1.806 -0.846 2.789
S 1.806 4.720 2.789
S 1.806 1.076 0.870
S 1.806 1.076 4.708
S 1.806 -1.076 6.447
S 1.806 -1.076 10.285
S 1.806 -4.720 8.366
! Crystal system   orthorhombic

---

! TmBe13, relaxed, DFT GGA-PBE; values from VASP
&SYSTEM
  ibrav = 0, nat = 28, ntyp = 2
/
ATOMIC_SPECIES
Tm 168.93 Tm.upf
Be 9.01 Be.upf
CELL_PARAMETERS angstrom
0.000 5.068 5.068
5.068 0.000 5.068
5.068 5.068 0.000
ATOMIC_POSITIONS angstrom
Tm 2.534 2.534 2.534
Tm 7.602 7.602 7.602
Be 0.000 0.000 0.000
Be 5.068 3.911 1.792
Be 8.344 5.068 3.911
Be 6.226 1.792 5.068
Be 6.226 5.068 3.276
Be 5.068 3.276 3.911
Be 6.860 3.911 5.068
Be 5.068 6.226 1.792
Be 3.911 1.792 5.068
Be 8.344 5.068 6.226
Be 3.911 5.068 3.276
Be 6.860 6.226 5.068
Be 5.068 3.276 6.226
Be 5.068 5.068 5.068
Be 5.068 6.860 3.911
Be 3.276 3.911 5.068
Be 6.226 5.068 6.860
Be 1.792 5.068 3.911
Be 6.226 8.344 5.068
Be 5.068 3.911 8.344
Be 3.276 6.226 5.068
Be 5.068 6.860 6.226
Be 3.911 5.068 6.860
Be 3.911 8.344 5.068
Be 1.792 5.068 6.226
Be 5.068 6.226 8.344
! Crystal system   cubic

---

! LaReAsO, relaxed, DFT GGA-PBE; values from VASP
&SYSTEM
  ibrav = 0, nat = 8, ntyp = 4
/
ATOMIC_SPECIES
La 138.91 La.upf
Re 186.21 Re.upf
As 74.92 As.upf
O 16.00 O.upf
CELL_PARAMETERS angstrom
4.246 0.000 0.000
0.000 4.246 0.000
0.000 0.000 7.476
ATOMIC_POSITIONS angstrom
La 1.061 3.184 0.000
La 3.184 1.061 0.000
Re 1.061 1.061 2.861
Re 3.184 3.184 4.614
As 1.061 1.061 5.325
As 3.184 3.184 2.151
O 1.061 3.184 3.738
O 3.184 1.061 3.738
! Crystal system   tetragonal

---

! Ho2Be, relaxed, DFT GGA-PBE; values from VASP
&SYSTEM
  ibrav = 0, nat = 6, ntyp = 2
/
ATOMIC_SPECIES
Ho 164.93 Ho.upf
Be 9.01 Be.upf
CELL_PARAMETERS angstrom
0.000 4.284 4.284
4.284 0.000 4.284
4.284 4.284 0.000
ATOMIC_POSITIONS angstrom
Ho 0.000 0.000 0.000
Ho 2.142 2.142 0.000
Ho 2.142 0.000 2.142
Ho 0.000 2.142 2.142
Be 3.213 3.213 3.213
Be 5.355 5.355 5.355
! Crystal system   cubic

---

! CuAg2F6, relaxed, DFT GGA-PBE; values from VASP
&SYSTEM
  ibrav = 0, nat = 18, ntyp = 3
/
ATOMIC_SPECIES
Cu 63.55 Cu.upf
Ag 107.87 Ag.upf
F 19.00 F.upf
CELL_PARAMETERS angstrom
4.841 0.000 0.000
0.000 4.841 0.000
0.000 0.000 9.979
ATOMIC_POSITIONS angstrom
Cu 0.000 0.000 0.000
Cu 2.421 2.421 4.990
Ag 0.000 0.000 3.353
Ag 0.000 0.000 6.626
Ag 2.421 2.421 1.636
Ag 2.421 2.421 8.343
F 0.933 0.933 1.452
F 0.933 0.933 8.527
F 1.096 1.096 4.990
F 1.325 3.517 0.000
F 1.488 3.353 3.537
F 1.488 3.353 6.442
F 3.353 1.488 3.537
F 3.353 1.488 6.442
F 3.517 1.325 0.000
F 3.745 3.745 4.990
F 3.908 3.908 1.452
F 3.908 3.908 8.527
! Crystal system   tetragonal

---

! TmUOs, relaxed, DFT GGA-PBE; values from VASP
&SYSTEM
  ibrav = 0, nat = 3, ntyp = 3
/
ATOMIC_SPECIES
Tm 168.93 Tm.upf
U 238.03 U.upf
Os 190.23 Os.upf
CELL_PARAMETERS angstrom
0.000 3.311 3.311
3.311 0.000 3.311
3.311 3.311 0.000
ATOMIC_POSITIONS angstrom
Tm 0.000 0.000 0.000
U 3.311 3.311 3.311
Os 1.655 1.655 1.655
! Formation energy from the elements   0.15 eV per atom
! Crystal system   cubic

---

! BeTlMo2, relaxed, DFT GGA-PBE; values from VASP
&SYSTEM
  ibrav = 0, nat = 4, ntyp = 3
/
ATOMIC_SPECIES
Be 9.01 Be.upf
Tl 204.38 Tl.upf
Mo 95.94 Mo.upf
CELL_PARAMETERS angstrom
0.000 3.176 3.176
3.176 0.000 3.176
3.176 3.176 0.000
ATOMIC_POSITIONS angstrom
Be 0.000 0.000 0.000
Tl 4.764 4.764 4.764
Mo 1.588 1.588 1.588
Mo 3.176 3.176 3.176
! Crystal system   cubic

---

! Zr4BiSbC2, relaxed, DFT GGA-PBE; values from VASP
&SYSTEM
  ibrav = 0, nat = 8, ntyp = 4
/
ATOMIC_SPECIES
Zr 91.22 Zr.upf
Bi 208.98 Bi.upf
Sb 121.76 Sb.upf
C 12.01 C.upf
CELL_PARAMETERS angstrom
3.463 0.000 0.000
-1.732 2.999 0.000
0.000 0.000 14.316
ATOMIC_POSITIONS angstrom
Zr 0.000 0.000 2.287
Zr 0.000 0.000 12.029
Zr 1.732 1.000 4.718
Zr 1.732 1.000 9.598
Bi 0.000 0.000 7.158
Sb 1.732 1.000 0.000
C 0.000 1.999 3.520
C 0.000 1.999 10.796
! Crystal system   hexagonal

---

! YErPO, relaxed, DFT GGA-PBE; values from VASP
&SYSTEM
  ibrav = 0, nat = 8, ntyp = 4
/
ATOMIC_SPECIES
Y 88.91 Y.upf
Er 167.26 Er.upf
P 30.97 P.upf
O 16.00 O.upf
CELL_PARAMETERS angstrom
4.116 0.000 0.000
0.000 7.423 0.000
0.000 0.000 5.616
ATOMIC_POSITIONS angstrom
Y 0.000 0.938 0.000
Y 0.000 6.485 2.808
Er 2.058 2.173 2.533
Er 2.058 5.250 5.341
P 2.058 2.567 5.310
P 2.058 4.856 2.502
O 0.000 1.303 2.273
O 0.000 6.120 5.081
! Crystal system   orthorhombic

---

! KRbZnSn, relaxed, DFT GGA-PBE; values from VASP
&SYSTEM
  ibrav = 0, nat = 8, ntyp = 4
/
ATOMIC_SPECIES
K 39.10 K.upf
Rb 85.47 Rb.upf
Zn 65.41 Zn.upf
Sn 118.71 Sn.upf
CELL_PARAMETERS angstrom
6.853 0.000 0.000
0.000 6.567 0.000
-2.070 0.000 6.774
ATOMIC_POSITIONS angstrom
K 1.196 1.642 0.066
K 3.587 4.925 6.708
Rb 2.604 4.925 2.190
Rb 2.179 1.642 4.583
Zn -1.035 0.000 3.387
Zn -1.035 3.284 3.387
Sn 0.073 4.925 5.118
Sn 4.710 1.642 1.656
! Crystal system   monoclinic

---

! PtAuNO, relaxed, DFT GGA-PBE; values from VASP
&SYSTEM
  ibrav = 0, nat = 8, ntyp = 4
/
ATOMIC_SPECIES
Pt 195.08 Pt.upf
Au 196.97 Au.upf
N 14.01 N.upf
O 16.00 O.upf
CELL_PARAMETERS angstrom
4.012 0.000 0.000
0.000 4.012 0.000
0.000 0.000 6.727
ATOMIC_POSITIONS angstrom
Pt 1.003 3.009 0.000
Pt 3.009 1.003 0.000
Au 1.003 1.003 2.520
Au 3.009 3.009 4.207
N 1.003 1.003 6.011
N 3.009 3.009 0.716
O 1.003 3.009 3.363
O 3.009 1.003 3.363
! Crystal system   tetragonal

---

! TbCo5P3, relaxed, DFT GGA-PBE; values from VASP
&SYSTEM
  ibrav = 0, nat = 36, ntyp = 3
/
ATOMIC_SPECIES
Tb 158.93 Tb.upf
Co 58.93 Co.upf
P 30.97 P.upf
CELL_PARAMETERS angstrom
11.707 0.000 0.000
0.000 3.641 0.000
0.000 0.000 10.273
ATOMIC_POSITIONS angstrom
Tb 2.372 0.910 0.854
Tb 3.481 2.730 5.991
Tb 8.226 0.910 4.283
Tb 9.335 2.730 9.420
Co 0.111 2.730 7.350
Co 0.141 2.730 0.961
Co 0.799 2.730 4.808
Co 2.065 0.910 8.002
Co 2.319 0.910 3.929
Co 3.535 2.730 9.066
Co 3.789 2.730 2.865
Co 5.055 0.910 9.945
Co 5.713 0.910 6.097
Co 5.742 0.910 2.213
Co 5.965 2.730 8.060
Co 5.995 2.730 4.176
Co 6.652 2.730 0.328
Co 7.918 0.910 7.408
Co 8.173 0.910 1.208
Co 9.388 2.730 6.344
Co 9.643 2.730 2.271
Co 10.909 0.910 5.465
Co 11.566 0.910 9.313
Co 11.596 0.910 2.924
P 1.273 2.730 9.220
P 1.307 0.910 5.977
P 1.520 2.730 2.785
P 4.334 0.910 7.921
P 4.547 2.730 0.840
P 4.581 0.910 4.083
P 7.126 2.730 6.191
P 7.160 0.910 9.433
P 7.374 2.730 2.352
P 10.187 0.910 7.489
P 10.401 2.730 4.296
P 10.435 0.910 1.054
! Crystal system   orthorhombic

---

! Nb2GeIr2Pb, relaxed, DFT GGA-PBE; values from VASP
&SYSTEM
  ibrav = 0, nat = 24, ntyp = 4
/
ATOMIC_SPECIES
Nb 92.91 Nb.upf
Ge 72.64 Ge.upf
Ir 192.22 Ir.upf
Pb 207.20 Pb.upf
CELL_PARAMETERS angstrom
10.699 0.000 0.000
0.000 4.357 0.000
-3.591 0.000 10.137
ATOMIC_POSITIONS angstrom
Nb 0.000 0.000 0.000
Nb -0.078 2.178 3.795
Nb -0.084 0.000 7.548
Nb 3.533 2.178 1.373
Nb 3.560 0.000 5.068
Nb 3.584 2.178 8.792
Nb 7.069 0.000 2.635
Nb 7.068 2.178 6.297
Ge 1.746 0.000 2.571
Ge 5.301 2.178 3.825
Ge 5.330 0.000 7.548
Ge 8.847 0.000 5.059
Ir 0.940 2.178 1.376
Ir 0.751 0.000 4.965
Ir 0.840 2.178 8.849
Ir 4.410 0.000 2.671
Ir 4.498 2.178 6.305
Ir 4.496 0.000 9.984
Ir 7.914 2.178 3.869
Ir 7.918 0.000 7.497
Pb -1.856 2.178 8.884
Pb 1.748 2.178 6.294
Pb 5.348 0.000 0.051
Pb 8.870 2.178 1.286
! Crystal system   monoclinic

---

! DyHoHg2Au4, relaxed, DFT GGA-PBE; values from VASP
&SYSTEM
  ibrav = 0, nat = 8, ntyp = 4
/
ATOMIC_SPECIES
Dy 162.50 Dy.upf
Ho 164.93 Ho.upf
Hg 200.59 Hg.upf
Au 196.97 Au.upf
CELL_PARAMETERS angstrom
4.919 0.000 0.000
0.000 4.919 0.000
0.000 0.000 6.958
ATOMIC_POSITIONS angstrom
Dy 0.000 0.000 0.000
Ho 2.460 2.460 3.479
Hg 0.000 0.000 3.479
Hg 2.460 2.460 0.000
Au 0.000 2.460 1.741
Au 0.000 2.460 5.216
Au 2.460 0.000 1.741
Au 2.460 0.000 5.216
! Formation energy from the elements   -0.60 eV per atom
! Crystal system   tetragonal

---

! PrGdP4Au2, relaxed, DFT GGA-PBE; values from VASP
&SYSTEM
  ibrav = 0, nat = 8, ntyp = 4
/
ATOMIC_SPECIES
Pr 140.91 Pr.upf
Gd 157.25 Gd.upf
P 30.97 P.upf
Au 196.97 Au.upf
CELL_PARAMETERS angstrom
3.951 0.000 0.000
0.000 3.951 0.000
0.000 0.000 10.160
ATOMIC_POSITIONS angstrom
Pr 0.000 0.000 0.000
Gd 1.975 1.975 4.575
P 0.000 0.000 5.466
P 0.000 1.975 2.344
P 1.975 0.000 2.344
P 1.975 1.975 9.139
Au 0.000 1.975 7.311
Au 1.975 0.000 7.311
! Crystal system   tetragonal

---

! LuCdNO, relaxed, DFT GGA-PBE; values from VASP
&SYSTEM
  ibrav = 0, nat = 16, ntyp = 4
/
ATOMIC_SPECIES
Lu 174.97 Lu.upf
Cd 112.41 Cd.upf
N 14.01 N.upf
O 16.00 O.upf
CELL_PARAMETERS angstrom
7.912 0.000 0.000
0.000 6.445 0.000
0.000 0.000 4.801
ATOMIC_POSITIONS angstrom
Lu 1.035 0.472 1.200
Lu 1.035 2.750 3.601
Lu 6.877 3.695 1.200
Lu 6.877 5.973 3.601
Cd 2.905 3.669 1.200
Cd 2.905 5.998 3.601
Cd 5.007 0.447 1.200
Cd 5.007 2.776 3.601
N 0.919 0.560 3.601
N 0.919 2.662 1.200
N 6.993 3.783 3.601
N 6.993 5.885 1.200
O 2.967 3.721 3.601
O 2.967 5.947 1.200
O 4.945 0.498 3.601
O 4.945 2.724 1.200
! Crystal system   orthorhombic

---

Number 1: total DFT energy (no corrections) -5.5784 eV/atom. Number 2: total DFT energy (no corrections) -3.2913 eV/atom. Number 3: total DFT energy (no corrections) -2.8876 eV/atom. Number 4: total DFT energy (no corrections) -5.1898 eV/atom. Number 5: total DFT energy (no corrections) -4.1307 eV/atom. Number 6: total DFT energy (no corrections) -3.9884 eV/atom. Number 7: total DFT energy (no corrections) -6.5732 eV/atom. Number 8: total DFT energy (no corrections) -3.3195 eV/atom. Number 9: total DFT energy (no corrections) -3.5291 eV/atom. Number 10: total DFT energy (no corrections) -8.8512 eV/atom. Number 11: total DFT energy (no corrections) -6.2771 eV/atom. Number 12: total DFT energy (no corrections) -8.3194 eV/atom. Number 13: total DFT energy (no corrections) -7.3576 eV/atom. Number 14: total DFT energy (no corrections) -2.0112 eV/atom. Number 15: total DFT energy (no corrections) -4.7136 eV/atom. Number 16: total DFT energy (no corrections) -7.1004 eV/atom. Number 17: total DFT energy (no corrections) -8.0508 eV/atom. Number 18: total DFT energy (no corrections) -3.4539 eV/atom. Number 19: total DFT energy (no corrections) -5.3767 eV/atom. Number 20: total DFT energy (no corrections) -6.1280 eV/atom.